A plane-wave DFT calculation with PBE with a Hubbard U was carried out for PuMg2MoO6 after structural relaxation.

Output
Space-group type: P1
M_tot, μB/atom: 0.600
Total energy, eV per atom: -7.879

Cell and atoms, written as POSCAR:
```
PuMg2MoO6
1.0
5.394 0.030 0.007
2.723 4.686 0.028
2.712 1.599 4.880
Pu Mg Mo O
1 2 1 6
direct
0.314 0.311 0.060
0.527 0.517 0.435
0.023 0.023 0.928
0.817 0.815 0.546
0.630 0.210 0.265
0.209 0.897 0.266
0.902 0.624 0.259
0.425 0.731 0.749
0.718 0.108 0.754
0.097 0.427 0.751
```